Entry 1:
TmCdNO after structural relaxation, computed with PBE.

Properties
Symmetry: Pbcm

POSCAR file:
```
TmCdNO
1.0
7.9749 0.0000 0.0000
0.0000 6.4634 0.0000
0.0000 0.0000 4.8321
Tm Cd N O
4 4 4 4
direct
0.1325 0.0715 0.2500 Tm
0.1325 0.4285 0.7500 Tm
0.8675 0.5715 0.2500 Tm
0.8675 0.9285 0.7500 Tm
0.3683 0.5689 0.2500 Cd
0.3683 0.9311 0.7500 Cd
0.6317 0.0689 0.2500 Cd
0.6317 0.4311 0.7500 Cd
0.1178 0.0855 0.7500 N
0.1178 0.4145 0.2500 N
0.8822 0.5855 0.7500 N
0.8822 0.9145 0.2500 N
0.3778 0.5794 0.7500 O
0.3778 0.9206 0.2500 O
0.6222 0.0794 0.7500 O
0.6222 0.4206 0.2500 O
```

Entry 2:
TmCdNO after structural relaxation, computed with PBE.

Properties
Symmetry: Pmc2_1

POSCAR file:
```
TmCdNO
1.0
3.6536 0.0000 0.0000
0.0000 6.2394 0.0000
0.0000 0.0000 5.8854
Tm Cd N O
2 2 2 2
direct
0.0000 0.1696 0.0000 Tm
0.0000 0.8304 0.5000 Tm
0.5000 0.3498 0.5064 Cd
0.5000 0.6502 0.0064 Cd
0.5000 0.3189 0.8780 N
0.5000 0.6811 0.3780 N
0.0000 0.1483 0.3650 O
0.0000 0.8517 0.8650 O
```

Number 1: size of the total moment 0.00 μB per atom, electronic total energy -6.10 eV per atom, energy above the lowest structure with this stoichiometry 56 meV per atom. Number 2: size of the total moment 0.00 μB per atom, electronic total energy -6.10 eV per atom, energy above the lowest structure with this stoichiometry 56 meV per atom.